Record 1
Li3Bi3P8O29 | PBE | optimized geometry

Calculated values
* magnetization: 0.00 μB per formula unit
* theoretical density: 3.493 g/cm3
* energy relative to the elements, uncorrected: -1.8273 eV/atom

Lattice parameters (Å, degrees): 17.5036 9.9958 14.7788 90.00 91.42 90.00
Space group C2/c (No. 15)
Inequivalent atoms, fractional coordinates:
Li  0.0000  0.0000  0.0000
Li  0.1192  0.1969  0.0458
Bi  0.0000  0.4551  0.7500
Bi  0.2200  0.1996  0.2761
P  0.0348  0.2363  0.3472
P  0.1176  0.2094  0.8392
P  0.1415  0.0729  0.6561
P  0.1610  0.4629  0.1422
O  0.0000  0.1891  0.2500
O  0.0118  0.1736  0.0805
O  0.0305  0.3916  0.3508
O  0.0473  0.3052  0.8395
O  0.0822  0.0822  0.5824
O  0.1009  0.4262  0.6646
O  0.1069  0.1129  0.7524
O  0.1148  0.1277  0.9237
O  0.1178  0.1818  0.3564
O  0.1501  0.3830  0.0576
O  0.1594  0.3757  0.2313
O  0.1646  0.0787  0.1663
O  0.1934  0.2877  0.8287
O  0.2120  0.1628  0.6389
O  0.2409  0.4631  0.6373



Record 2
LiBiP4O12 | PBE | optimized geometry

Calculated values
* magnetization: 0.00 μB per formula unit
* theoretical density: 3.731 g/cm3
* excess energy over the best structure of this formula in the dataset: 0.000 eV/f.u.
* energy relative to the elements, uncorrected: -2.0990 eV/atom

Lattice parameters (Å, degrees): 16.5655 7.1675 9.8525 90.00 125.97 90.00
Space group C2/c (No. 15)
Inequivalent atoms, fractional coordinates:
Li  0.0000  0.2006  0.2500
Bi  0.0000  0.3057  0.7500
P  0.1392  0.0547  0.6169
P  0.1462  0.3479  0.1936
O  0.0677  0.0130  0.4323
O  0.0706  0.4082  0.2238
O  0.1186  0.2156  0.6899
O  0.1290  0.3907  0.0292
O  0.1565  0.1258  0.2281
O  0.2471  0.0796  0.6518



Record 3
LiBiP2O6 | PBE | optimized geometry

Calculated values
* magnetization: 0.00 μB per formula unit
* theoretical density: 5.009 g/cm3
* energy relative to the elements, uncorrected: -1.6593 eV/atom

Lattice parameters (Å, degrees): 5.6409 5.6409 13.4939 90.00 90.00 120.00
Space group R-3 (No. 148, hexagonal axes)
Inequivalent atoms, fractional coordinates:
Li  0.0000  0.0000  0.0000
Bi  0.0000  0.0000  0.5000
P  0.0000  0.0000  0.2807
O  0.0416  0.2826  0.7466